Crystalline In2CuTe2 at its relaxed geometry. Source: Alexandria via LeMat-Bulk, functional PBE-GGA.

Values from the calculation:
formation energy from raw total energies: 220 meV per atom
space group: No. 127
density of states at the Fermi level: 2.3 states/eV/f.u.
DFT total energy: -0.108 hartree per atom
energy above the lowest structure with this stoichiometry: 0.153 eV/atom

Unit cell a=7.9865 b=7.9865 c=4.2204 alpha=90.00 beta=90.00 gamma=90.00
With the nearest neighbours (Å) after each atom.
Sites, in units of the cell vectors:
In (0.1516, 0.3484, 0.0000)  6 Te 2.99-3.27, 2 Cu 3.03
In (0.3484, 0.8484, 0.0000)  6 Te 2.99-3.27, 2 Cu 3.03
In (0.6516, 0.1516, 0.0000)  6 Te 2.99-3.27, 2 Cu 3.03
In (0.8484, 0.6516, 0.0000)  6 Te 2.99-3.27, 2 Cu 3.03
Cu (0.0000, 0.0000, 0.0000)  4 In 3.03
Cu (0.5000, 0.5000, 0.0000)  4 In 3.03
Te (0.1611, 0.6611, 0.5000)  6 In 2.99-3.27
Te (0.3389, 0.1611, 0.5000)  6 In 2.99-3.27
Te (0.6611, 0.8389, 0.5000)  6 In 2.99-3.27
Te (0.8389, 0.3389, 0.5000)  6 In 2.99-3.27